BaLi2AgHg PBE optimized geometry; SG = P4/mmm; V = 144 Å³ per cell; energy of formation from the pure elements = -0.11 eV/atom; Fermi-level density of states = 2.7 states/eV per cell; total DFT energy (no corrections) = -9.5 eV/cell; polymorph energy (0 for the lowest one) = 15 meV/atom
1.0
-3.551 -2.667 -2.588
2.971 0.114 -4.193
2.376 -4.673 1.556
Li Hg Ag Ba
2 1 1 1
Direct
0.000 0.500 0.000 Li
0.500 0.000 0.000 Li
0.000 0.000 0.000 Hg
0.000 0.000 0.500 Ag
0.500 0.500 0.500 Ba